(1)
AlSe2Br, optimized geometry, DFT GGA-PBE; SG = No. 99; excess energy over the best structure of this formula in the dataset = 0.690 eV/atom; energy = -11.92 eV/cell; ΔE_f (raw) = 0.12 eV per atom
1.0
3.3459 0.0000 0.0000
0.0000 3.3459 0.0000
0.0000 0.0000 8.4247
Br Se Al
1 2 1
direct
0.5000 0.5000 0.6693
0.0000 0.0000 0.0821
0.5000 0.5000 0.2787
0.0000 0.0000 0.4700

***

(2)
Hf2AgS, optimized geometry, DFT GGA-PBE; SG = No. 160; energy = -29.02 eV/cell; ΔE_f (raw) = -0.53 eV per atom
1.0
3.5064 0.0000 0.0000
1.7532 3.0366 0.0000
1.7532 1.0122 7.2773
S Hf Ag
1 2 1
direct
0.6672 0.6672 0.9984
0.0673 0.0673 0.7981
0.2665 0.2665 0.2006
0.4990 0.4990 0.5030

***

(3)
ZrHgB, optimized geometry, DFT GGA-PBE; SG = No. 8; excess energy over the best structure of this formula in the dataset = 0.364 eV/atom; energy = -64.40 eV/cell
1.0
4.5629 0.0000 -0.0072
0.0000 3.2010 0.0000
-0.5764 0.0000 14.7932
B Zr Hg
4 4 4
direct
0.1822 0.5000 0.4560
0.1822 0.0000 0.9560
0.1729 0.0000 0.4133
0.1729 0.5000 0.9133
0.1573 0.5000 0.2979
0.1573 0.0000 0.7979
0.6767 0.0000 0.4508
0.6767 0.5000 0.9508
0.6449 0.5000 0.7231
0.1277 0.5000 0.6053
0.6449 0.0000 0.2231
0.1277 0.0000 0.1053

***

(4)
LaAsPdSe2, optimized geometry, DFT GGA-PBE; SG = No. 123; excess energy over the best structure of this formula in the dataset = 0.000 eV/atom; energy = -25.08 eV/cell; ΔE_f (raw) = -0.67 eV per atom
1.0
5.0503 0.0000 0.0000
0.0000 5.0503 0.0000
0.0000 0.0000 4.7799
As La Se Pd
1 1 2 1
direct
0.0000 0.0000 0.5000
0.5000 0.5000 0.5000
0.0000 0.5000 0.0000
0.5000 0.0000 0.0000
0.0000 0.0000 0.0000

***

(5)
BPSCl2, optimized geometry, DFT GGA-PBE; SG = No. 123; excess energy over the best structure of this formula in the dataset = 0.120 eV/atom; energy = -15.26 eV/cell; ΔE_f (raw) = 0.93 eV per atom
1.0
4.8207 0.0000 0.0000
0.0000 4.8207 0.0000
0.0000 0.0000 4.5571
B Cl S P
1 2 1 1
direct
0.5000 0.5000 0.5000
0.0000 0.5000 0.0000
0.5000 0.0000 0.0000
0.0000 0.0000 0.5000
0.0000 0.0000 0.0000

***

(6)
LiCaPm2, optimized geometry, DFT GGA-PBE; SG = No. 123; excess energy over the best structure of this formula in the dataset = 0.000 eV/atom; energy = -12.90 eV/cell
1.0
-2.7138 0.3365 2.6096
0.8811 -3.4162 1.3568
5.9291 3.7843 5.6779
Pm Ca Li
2 1 1
direct
0.0000 0.0000 0.2022
0.0000 0.0000 0.7978
0.5000 0.5000 0.5000
0.5000 0.5000 0.0000